# 1
Density functional theory data (GGA-PBE) for crystalline HoSnPtRh at its relaxed geometry.

Computed properties:
Crystal system ... cubic

a b c (Å): 6.712 6.712 6.712
angles (deg): 90.00 90.00 90.00
Space group F-43m (No. 216)
Symmetry-distinct sites (fractional):
Ho1 0.000 0.000 0.000 [4 per cell]
Sn1 0.000 0.000 0.500 [4 per cell]
Pt1 0.250 0.250 0.750 [4 per cell]
Rh1 0.250 0.250 0.250 [4 per cell]

# 2
Density functional theory data (GGA-PBE) for crystalline PmPrThZr at its relaxed geometry.

Computed properties:
Crystal system ... cubic

a b c (Å): 7.865 7.865 7.865
angles (deg): 90.00 90.00 90.00
Space group F-43m (No. 216)
Symmetry-distinct sites (fractional):
Pm1 0.000 0.000 0.000 [4 per cell]
Pr1 0.250 0.250 0.250 [4 per cell]
Th1 0.250 0.250 0.750 [4 per cell]
Zr1 0.000 0.000 0.500 [4 per cell]

# 3
Density functional theory data (GGA-PBE) for crystalline Ho6Al2Pd at its relaxed geometry.

Computed properties:
Crystal system ... orthorhombic

a b c (Å): 4.933 7.100 14.841
angles (deg): 90.00 90.00 90.00
Space group Immm (No. 71)
Symmetry-distinct sites (fractional):
Ho1 0.000 0.240 0.000 [4 per cell]
Ho2 0.000 0.256 0.338 [8 per cell]
Al1 0.000 0.500 0.167 [4 per cell]
Pd1 0.000 0.500 0.500 [2 per cell]

# 4
Density functional theory data (GGA-PBE) for crystalline TbDy4Er6 at its relaxed geometry.

Computed properties:
Energy above the lowest structure with this stoichiometry ... 0 meV/atom
Crystal system ... orthorhombic

a b c (Å): 5.606 9.573 25.449
angles (deg): 90.00 90.00 90.00
Space group Cmcm (No. 63)
Symmetry-distinct sites (fractional):
Tb1 0.000 0.177 0.250 [4 per cell]
Dy1 0.000 0.162 0.542 [8 per cell]
Dy2 0.000 0.487 0.621 [8 per cell]
Er1 0.000 0.155 0.682 [8 per cell]
Er2 0.000 0.178 0.104 [8 per cell]
Er3 0.000 0.489 0.750 [4 per cell]
Er4 0.000 0.500 0.000 [4 per cell]

# 5
Density functional theory data (GGA-PBE) for crystalline CrMo2Os at its relaxed geometry.

Computed properties:
Energy above the lowest structure with this stoichiometry ... 23 meV/atom
Crystal system ... orthorhombic

a b c (Å): 3.063 4.389 8.660
angles (deg): 90.00 90.00 90.00
Space group Imm2 (No. 44)
Symmetry-distinct sites (fractional):
Cr1 0.000 0.000 0.000 [2 per cell]
Mo1 0.000 0.000 0.481 [2 per cell]
Mo2 0.000 0.500 0.729 [2 per cell]
Os1 0.000 0.500 0.245 [2 per cell]

# 6
Density functional theory data (GGA-PBE) for crystalline In2TcMo at its relaxed geometry.

Computed properties:
Energy above the lowest structure with this stoichiometry ... 336 meV/atom
Crystal system ... orthorhombic

a b c (Å): 3.363 4.733 9.106
angles (deg): 90.00 90.00 90.00
Space group Cmmm (No. 65)
Symmetry-distinct sites (fractional):
In1 0.000 0.000 0.245 [4 per cell]
Tc1 0.000 0.500 0.000 [2 per cell]
Mo1 0.000 0.500 0.500 [2 per cell]

D(E_F), record by record: 3.19 5.79 8.52 18.88 3.76 3.46 states/eV/f.u.
ΔE_f, record by record: -0.836 0.206 -0.185 0.127 0.140 0.487 eV per atom